A relaxed structure of UNbSe4, computed with PBE.

Unit cell a=6.7329 b=6.7356 c=6.7690 alpha=90.00 beta=98.05 gamma=90.00
Positions (direct):
U: 0.0000 0.0000 0.0000
U: 0.5000 0.5000 0.0000
Nb: 0.5000 0.0000 0.5000
Nb: 0.0000 0.5000 0.5000
Se: 0.8744 0.6576 0.1661
Se: 0.6256 0.1576 0.8339
Se: 0.2967 0.3256 0.3434
Se: 0.2033 0.8256 0.6566
Se: 0.1256 0.3424 0.8339
Se: 0.3744 0.8424 0.1661
Se: 0.7033 0.6744 0.6566
Se: 0.7967 0.1744 0.3434

For the spin magnetization, the calculation gives 6.001 Bohr magnetons per cell. The energy above the most stable polymorph in this dataset comes out at 251.1 meV per atom. As for the space-group type: P2_1/c. The calculation puts the raw formation energy at -4.10 eV per formula unit.